Material: Mn2ReTeF
Method: DFT, PBE+U
State: relaxed

Computed properties:
The energy above the most stable polymorph in this dataset comes out at 2.6 kJ per mole of atoms. Its uncorrected energy is -30.5 eV for the cell shown. The space group is P4/mmm (123).

Unit cell a=5.181 b=5.181 c=4.910 alpha=90.00 beta=90.00 gamma=90.00
Fractional coordinates of all 5 atoms:
Mn  0.000  0.500  0.000
Mn  0.500  0.000  0.000
Re  0.000  0.000  0.000
Te  0.000  0.000  0.500
F  0.500  0.500  0.500